1.
Below is a relaxed Li2BrCl crystal, with properties calculated at the PBE level.

**Excess energy over the best structure of this formula in the dataset**: 0.13 eV/f.u.
**VASP energy**: -3.49 eV per atom
**Energy relative to the elements, uncorrected**: -6.60 eV/f.u.

a b c (Å): 3.7853 5.3329 3.7860
angles (deg): 90.00 90.02 90.00
Last column: nearest neighbours and their distance in Å.
Fractional positions:
Li1 0.0000 0.0000 0.0000  4 Cl 2.63-2.73, 2 Br 2.67
Li2 0.4983 0.5000 0.5178  2 Cl 2.67, 4 Br 2.68
Br1 0.9984 0.5000 0.0176  6 Li 2.67-2.68
Cl1 0.4985 0.0000 0.5172  6 Li 2.63-2.73

---

2.
Below is a relaxed LaVCl3 crystal, with properties calculated at the PBE level.

**Excess energy over the best structure of this formula in the dataset**: 0.00 eV/f.u.
**VASP energy**: -4.88 eV per atom
**Energy relative to the elements, uncorrected**: -4.81 eV/f.u.

a b c (Å): 4.8184 4.8184 4.8184
angles (deg): 90.00 90.00 90.00
Last column: nearest neighbours and their distance in Å.
Fractional positions:
La1 0.0000 0.0000 0.0000  12 Cl 3.41
V1 0.5000 0.5000 0.5000  6 Cl 2.41
Cl1 0.0000 0.5000 0.5000  2 V 2.41
Cl2 0.5000 0.0000 0.5000  2 V 2.41
Cl3 0.5000 0.5000 0.0000  2 V 2.41

---

3.
Below is a relaxed LiHgF5 crystal, with properties calculated at the PBE level.

**VASP energy**: -3.07 eV per atom
**Energy relative to the elements, uncorrected**: -9.91 eV/f.u.

a b c (Å): 5.1669 10.6696 7.6465
angles (deg): 90.00 109.12 90.00
Last column: nearest neighbours and their distance in Å.
Fractional positions:
Li1 0.1366 0.2468 0.4131  5 F 1.97-2.18
Li2 0.1366 0.2532 0.9131  5 F 1.97-2.18
Li3 0.8634 0.7468 0.0869  5 F 1.97-2.18
Li4 0.8634 0.7532 0.5869  5 F 1.97-2.18
Hg1 0.4389 0.0235 0.7449  4 F 1.97-2.20
Hg2 0.4389 0.4765 0.2449  4 F 1.97-2.20
Hg3 0.5611 0.5235 0.7551  4 F 1.97-2.20
Hg4 0.5611 0.9765 0.2551  4 F 1.97-2.20
F1 0.1012 0.5771 0.1868  1 Hg 1.97, 1 Li 2.18
F2 0.1012 0.9229 0.6868  1 Hg 1.97, 1 Li 2.18
F3 0.1844 0.1844 0.6743  2 Li 2.04-2.06, 1 Hg 2.12
F4 0.1844 0.3156 0.1743  2 Li 2.04-2.06, 1 Hg 2.12
F5 0.2325 0.6306 0.6919  1 Hg 1.97
F6 0.2325 0.8694 0.1919  1 Hg 1.97
F7 0.3502 0.1037 0.0256  1 Li 1.97, 1 Hg 2.20
F8 0.3502 0.3963 0.5256  1 Li 1.97, 1 Hg 2.20
F9 0.3952 0.1112 0.4127  1 Li 1.97
F10 0.3952 0.3888 0.9127  1 Li 1.97
F11 0.6048 0.6112 0.0873  1 Li 1.97
F12 0.6048 0.8888 0.5873  1 Li 1.97
F13 0.6498 0.6037 0.4744  1 Li 1.97, 1 Hg 2.20
F14 0.6498 0.8963 0.9744  1 Li 1.97, 1 Hg 2.20
F15 0.7675 0.1306 0.8081  1 Hg 1.97
F16 0.7675 0.3694 0.3081  1 Hg 1.97
F17 0.8156 0.6844 0.8257  2 Li 2.04-2.06, 1 Hg 2.12
F18 0.8156 0.8156 0.3257  2 Li 2.04-2.06, 1 Hg 2.12
F19 0.8988 0.0771 0.3132  1 Hg 1.97, 1 Li 2.18
F20 0.8988 0.4229 0.8132  1 Hg 1.97, 1 Li 2.18

---

4.
Below is a relaxed AcInSb2Au6 crystal, with properties calculated at the PBE level.

**VASP energy**: -3.79 eV per atom
**Energy relative to the elements, uncorrected**: -3.19 eV/f.u.

a b c (Å): 9.2906 9.2906 7.3274
angles (deg): 105.91 105.91 117.45
Last column: nearest neighbours and their distance in Å.
Fractional positions:
Ac1 0.2244 0.7756 0.7500  8 Au 3.23-3.37, 2 Sb 3.62
Ac2 0.7756 0.2244 0.2500  8 Au 3.23-3.37, 2 Sb 3.62
In1 0.4355 0.5645 0.2500  8 Au 2.90-3.19
In2 0.5645 0.4355 0.7500  8 Au 2.90-3.19
Sb1 0.0935 0.3078 0.7488  5 Au 2.75-3.03
Sb2 0.3078 0.0935 0.2488  5 Au 2.75-3.03
Sb3 0.6922 0.9065 0.7512  5 Au 2.75-3.03
Sb4 0.9065 0.6922 0.2512  5 Au 2.75-3.03
Au1 0.0485 0.1903 0.0756  3 Sb 2.79-3.03, 3 Au 2.87-2.98
Au2 0.1133 0.5576 0.2302  1 Sb 2.75, 4 Au 2.89-3.03, 1 In 2.93
Au3 0.1903 0.0485 0.5756  3 Sb 2.79-3.03, 3 Au 2.87-2.98
Au4 0.2698 0.4540 0.5227  1 Sb 2.82, 3 Au 2.87-2.97, 2 In 2.90-2.96
Au5 0.4424 0.8867 0.2698  1 Sb 2.75, 4 Au 2.89-3.03, 1 In 2.93
Au6 0.4540 0.2698 0.0227  1 Sb 2.82, 3 Au 2.87-2.97, 2 In 2.90-2.96
Au7 0.5460 0.7302 0.9773  1 Sb 2.82, 3 Au 2.87-2.97, 2 In 2.90-2.96
Au8 0.5576 0.1133 0.7302  1 Sb 2.75, 4 Au 2.89-3.03, 1 In 2.93
Au9 0.7302 0.5460 0.4773  1 Sb 2.82, 3 Au 2.87-2.97, 2 In 2.90-2.96
Au10 0.8097 0.9515 0.4244  3 Sb 2.79-3.03, 3 Au 2.87-2.98
Au11 0.8867 0.4424 0.7698  1 Sb 2.75, 4 Au 2.89-3.03, 1 In 2.93
Au12 0.9515 0.8097 0.9244  3 Sb 2.79-3.03, 3 Au 2.87-2.98

---

5.
Below is a relaxed Ce2HfPd9 crystal, with properties calculated at the PBE level.

**VASP energy**: -6.54 eV per atom
**Formation enthalpy at 0 K**: -0.83 eV per atom

a b c (Å): 4.1125 4.1125 12.3415
angles (deg): 90.00 90.00 90.00
Last column: nearest neighbours and their distance in Å.
Fractional positions:
Ce1 0.0000 0.0000 0.1697  12 Pd 2.91-2.97
Ce2 0.0000 0.0000 0.8303  12 Pd 2.91-2.97
Hf1 0.0000 0.0000 0.5000  12 Pd 2.82-2.91
Pd1 0.0000 0.5000 0.0000  8 Pd 2.91-2.96, 4 Ce 2.93
Pd2 0.0000 0.5000 0.3431  2 Hf 2.82, 8 Pd 2.82-2.94, 2 Ce 2.97
Pd3 0.0000 0.5000 0.6569  2 Hf 2.82, 8 Pd 2.82-2.94, 2 Ce 2.97
Pd4 0.5000 0.0000 0.0000  8 Pd 2.91-2.96, 4 Ce 2.93
Pd5 0.5000 0.0000 0.3431  2 Hf 2.82, 8 Pd 2.82-2.94, 2 Ce 2.97
Pd6 0.5000 0.0000 0.6569  2 Hf 2.82, 8 Pd 2.82-2.94, 2 Ce 2.97
Pd7 0.5000 0.5000 0.1723  4 Ce 2.91, 8 Pd 2.94-2.96
Pd8 0.5000 0.5000 0.5000  8 Pd 2.82, 4 Hf 2.91
Pd9 0.5000 0.5000 0.8277  4 Ce 2.91, 8 Pd 2.94-2.96

---

6.
Below is a relaxed RbSrCr2Ir crystal, with properties calculated at the PBE level.

**VASP energy**: -5.45 eV per atom
**Formation enthalpy at 0 K**: 0.70 eV per atom

a b c (Å): 5.0786 5.0786 5.7742
angles (deg): 90.00 90.00 90.00
Last column: nearest neighbours and their distance in Å.
Fractional positions:
Rb1 0.0000 0.0000 0.0000  4 Sr 3.59, 8 Cr 3.84
Sr1 0.5000 0.5000 0.0000  2 Ir 2.89
Cr1 0.0000 0.5000 0.5000  2 Ir 2.54
Cr2 0.5000 0.0000 0.5000  2 Ir 2.54
Ir1 0.5000 0.5000 0.5000  4 Cr 2.54